{"formula": "Zr2HgTe", "functional": "PBE", "state": "optimized geometry", "cell": [[-6.116, -0.126, -0.224], [0.073, -5.969, 1.355], [-3.305, -1.490, 7.441]], "species": ["Te", "Te", "Hg", "Hg", "Zr", "Zr", "Zr", "Zr"], "frac_coords": [[0.500, 0.500, 0.000], [0.250, 0.750, 0.500], [0.000, 0.000, 0.000], [0.750, 0.250, 0.500], [0.647, 0.125, 0.250], [0.103, 0.625, 0.250], [0.375, 0.353, 0.750], [0.875, 0.897, 0.750]], "relative_energy_ev_per_atom": 0.722, "formation_energy_uncorrected_mev_per_atom": 364}